{"formula": "Cs2SrSn2", "functional": "PBE", "state": "relaxed", "lattice_angstrom": [[-0.620, 3.067, 4.077], [-4.874, -1.571, 0.441], [-0.239, -5.588, 7.407]], "species": ["Cs", "Cs", "Sr", "Sn", "Sn"], "frac_coords": [[0.750, 0.250, 0.500], [0.250, 0.750, 0.500], [0.000, 0.000, 0.000], [0.419, 0.419, 0.161], [0.581, 0.581, 0.839]], "rho_g_cm3": 4.348, "delta_e_f_ev_per_atom": -0.118, "total_energy_ev_per_atom": -2.40, "vol_a3_per_fu": 225.6}